(1)
VASP calculation (SCAN) on a PBEsol-optimized structure of Bi2Se3.

Properties
Uncorrected formation energy = -0.325 eV per atom

abc: 4.1312 4.1312 28.5828
angles: 90.00 90.00 120.00
With the nearest neighbours (Å) after each atom.
Space group R-3m (No. 166, hexagonal axes)
Symmetry-distinct sites (fractional):
1 Bi 0.0000 0.0000 0.0998 (multiplicity 6)  6 Se 2.86-3.06
2 Se 0.0000 0.0000 0.2886 (multiplicity 6)  3 Bi 2.86
3 Se 0.0000 0.0000 0.5000 (multiplicity 3)  6 Bi 3.06

---

(2)
VASP calculation (SCAN) on a PBEsol-optimized structure of K2MoBr.

Properties
Uncorrected formation energy = 0.284 eV per atom
DOS at the Fermi energy = 1.309 states/eV per cell

abc: 3.9107 3.9107 10.5890
angles: 90.00 90.00 90.00
With the nearest neighbours (Å) after each atom.
Space group P4mm (No. 99)
Symmetry-distinct sites (fractional):
1 K 0.0000 0.0000 0.0000 (multiplicity 1)  4 Br 3.13
2 K 0.5000 0.5000 0.4310 (multiplicity 1)  1 Br 3.11
3 Mo 0.0000 0.0000 0.6620 (multiplicity 1)  5 K 3.58-3.69, 4 Mo 3.91
4 Br 0.5000 0.5000 0.1377 (multiplicity 1)  5 K 3.11-3.13

---

(3)
VASP calculation (SCAN) on a PBEsol-optimized structure of AgRh4.

Properties
DOS at the Fermi energy = 15.323 states/eV per cell
ΔH_f (0 K) = 0.101 eV/atom

abc: 2.6953 2.6953 33.3971
angles: 90.00 90.00 120.00
With the nearest neighbours (Å) after each atom.
Space group R-3m (No. 166, hexagonal axes)
Symmetry-distinct sites (fractional):
1 Ag 0.0000 0.0000 0.0000 (multiplicity 3)  6 Ag 2.70, 6 Rh 2.82
2 Rh 0.0000 0.0000 0.1990 (multiplicity 6)  12 Rh 2.64-2.70
3 Rh 0.0000 0.0000 0.4037 (multiplicity 6)  9 Rh 2.64-2.70, 3 Ag 2.82

---

(4)
VASP calculation (SCAN) on a PBEsol-optimized structure of LiCr2O3.

Properties
Uncorrected formation energy = -2.225 eV per atom
DOS at the Fermi energy = 18.863 states/eV per cell

abc: 5.0376 8.7616 9.7122
angles: 90.00 100.24 90.00
With the nearest neighbours (Å) after each atom.
Space group C2/c (No. 15)
Symmetry-distinct sites (fractional):
1 Li 0.0000 0.0833 0.2500 (multiplicity 4)  6 O 2.10-2.12
2 Li 0.0000 0.2514 0.7500 (multiplicity 4)  6 O 2.10-2.13
3 Cr 0.0000 0.4168 0.2500 (multiplicity 4)  6 O 2.05-2.09
4 Cr 0.2469 0.0844 0.0000 (multiplicity 8)  6 O 2.01-2.04
5 Cr 0.2500 0.2500 0.5000 (multiplicity 4)  6 O 2.01-2.08
6 O 0.1192 0.4220 0.6199 (multiplicity 8)  4 Cr 2.03-2.08, 2 Li 2.10-2.11
7 O 0.1216 0.2530 0.1180 (multiplicity 8)  4 Cr 2.01-2.09, 2 Li 2.10-2.12
8 O 0.1310 0.0832 0.6184 (multiplicity 8)  4 Cr 2.01-2.06, 2 Li 2.12-2.13

---

(5)
VASP calculation (SCAN) on a PBEsol-optimized structure of RbZr2CrF.

Properties
Uncorrected formation energy = 0.220 eV per atom
DOS at the Fermi energy = 4.269 states/eV per cell

abc: 4.4773 4.4773 5.6474
angles: 90.00 90.00 90.00
With the nearest neighbours (Å) after each atom.
Space group P4/mmm (No. 123)
Symmetry-distinct sites (fractional):
1 Rb 0.0000 0.0000 0.0000 (multiplicity 1)  4 Cr 3.17
2 Zr 0.0000 0.5000 0.5000 (multiplicity 2)  2 F 2.24
3 Cr 0.5000 0.5000 0.0000 (multiplicity 1)  2 F 2.82
4 F 0.5000 0.5000 0.5000 (multiplicity 1)  4 Zr 2.24

---

(6)
VASP calculation (SCAN) on a PBEsol-optimized structure of Sc2TcAs.

Properties
DOS at the Fermi energy = 2.507 states/eV per cell
ΔH_f (0 K) = -0.433 eV/atom

abc: 6.3662 6.3662 6.3662
angles: 90.00 90.00 90.00
With the nearest neighbours (Å) after each atom.
Space group F-43m (No. 216)
Symmetry-distinct sites (fractional):
1 Sc 0.0000 0.0000 0.0000 (multiplicity 4)  4 Sc 2.76, 4 Tc 2.76
2 Sc 0.2500 0.2500 0.2500 (multiplicity 4)  4 As 2.76, 4 Sc 2.76
3 Tc 0.2500 0.2500 0.7500 (multiplicity 4)  4 As 2.76, 4 Sc 2.76
4 As 0.0000 0.0000 0.5000 (multiplicity 4)  4 Tc 2.76, 4 Sc 2.76

---

Repeat the fifth record exactly.
VASP calculation (SCAN) on a PBEsol-optimized structure of RbZr2CrF.

Properties
Uncorrected formation energy = 0.220 eV per atom
DOS at the Fermi energy = 4.269 states/eV per cell

abc: 4.4773 4.4773 5.6474
angles: 90.00 90.00 90.00
With the nearest neighbours (Å) after each atom.
Space group P4/mmm (No. 123)
Symmetry-distinct sites (fractional):
1 Rb 0.0000 0.0000 0.0000 (multiplicity 1)  4 Cr 3.17
2 Zr 0.0000 0.5000 0.5000 (multiplicity 2)  2 F 2.24
3 Cr 0.5000 0.5000 0.0000 (multiplicity 1)  2 F 2.82
4 F 0.5000 0.5000 0.5000 (multiplicity 1)  4 Zr 2.24